[1]
The following is a PBE calculation of Al3POs after structural relaxation, from the Alexandria database.

a = 4.4628 Å, b = 4.4628 Å, c = 4.4628 Å
α = 90.00°, β = 90.00°, γ = 90.00°
Sites, in units of the cell vectors:
P (0.0000, 0.0000, 0.0000)
Os (0.5000, 0.5000, 0.5000)
Al (0.0000, 0.5000, 0.0000)
Al (0.0000, 0.0000, 0.5000)
Al (0.5000, 0.0000, 0.0000)

Properties
- ΔH_f (0 K) (eV per atom) = 0.938
- D(E_F) (states/eV/cell) = 4.69
- energy relative to the lowest polymorph listed for this composition (eV/atom) = 0.4740
- SG = Pm-3m

***

[2]
The following is a PBE calculation of SiTc4Ge after structural relaxation, from the Alexandria database.

a = 2.9615 Å, b = 2.9615 Å, c = 9.5120 Å
α = 90.00°, β = 90.00°, γ = 90.00°
Sites, in units of the cell vectors:
Si (0.5000, 0.5000, 0.5000)
Tc (0.4999, 0.4999, 0.8346)
Tc (0.5001, 0.5001, 0.1654)
Tc (0.0000, 0.0000, 0.6555)
Tc (0.0000, 0.0000, 0.3445)
Ge (0.0000, 0.0000, 0.0000)

Properties
- D(E_F) (states/eV/cell) = 2.99
- E_form (uncorrected) (eV per atom) = -0.262
- SG = P4/mmm

***

Question: Which of these has the lowest D(E_F)?
Answer: SiTc4Ge